[1]
! CaPa2BO8 | Alexandria | PBE | relaxed; values from VASP
! Uncorrected formation energy ... -2.607 eV/atom
&SYSTEM
  ibrav = 0, nat = 12, ntyp = 4
/
ATOMIC_SPECIES
Ca 40.08 Ca.upf
Pa 231.04 Pa.upf
B 10.81 B.upf
O 16.00 O.upf
ATOMIC_POSITIONS crystal
Ca 0.000 0.000 0.000
Pa 0.333 0.667 0.348
Pa 0.667 0.333 0.652
B 0.000 0.000 0.500
O 0.161 0.322 0.646
O 0.161 0.839 0.646
O 0.322 0.161 0.354
O 0.333 0.667 0.068
O 0.667 0.333 0.932
O 0.678 0.839 0.646
O 0.839 0.161 0.354
O 0.839 0.678 0.354
CELL_PARAMETERS angstrom
4.872 0.000 0.000
-2.436 4.219 0.000
0.000 0.000 6.916

---

[2]
! CaBPbO5 | Alexandria | PBE | relaxed; values from VASP
! Uncorrected formation energy ... -1.691 eV/atom
&SYSTEM
  ibrav = 0, nat = 16, ntyp = 4
/
ATOMIC_SPECIES
Ca 40.08 Ca.upf
B 10.81 B.upf
Pb 207.20 Pb.upf
O 16.00 O.upf
ATOMIC_POSITIONS crystal
Ca 0.150 0.850 0.750
Ca 0.850 0.150 0.250
B 0.205 0.795 0.250
B 0.795 0.205 0.750
Pb 0.500 0.500 0.000
Pb 0.500 0.500 0.500
O 0.044 0.224 0.898
O 0.168 0.582 0.338
O 0.224 0.044 0.398
O 0.392 0.608 0.750
O 0.418 0.832 0.162
O 0.582 0.168 0.838
O 0.608 0.392 0.250
O 0.776 0.956 0.602
O 0.832 0.418 0.662
O 0.956 0.776 0.102
CELL_PARAMETERS angstrom
3.361 -4.572 0.000
3.361 4.572 0.000
-2.964 0.000 6.609

---

[3]
! Ca2BPbO5 | Alexandria | PBE | relaxed; values from VASP
! Uncorrected formation energy ... -2.068 eV/atom
&SYSTEM
  ibrav = 0, nat = 18, ntyp = 4
/
ATOMIC_SPECIES
Ca 40.08 Ca.upf
B 10.81 B.upf
Pb 207.20 Pb.upf
O 16.00 O.upf
ATOMIC_POSITIONS crystal
Ca 0.084 0.916 0.500
Ca 0.104 0.896 0.127
Ca 0.896 0.104 0.627
Ca 0.916 0.084 0.000
B 0.446 0.554 0.261
B 0.554 0.446 0.761
Pb 0.227 0.773 0.833
Pb 0.773 0.227 0.333
O 0.043 0.957 0.857
O 0.298 0.702 0.517
O 0.363 0.637 0.831
O 0.365 0.635 0.203
O 0.500 0.500 0.139
O 0.500 0.500 0.639
O 0.635 0.365 0.703
O 0.637 0.363 0.331
O 0.702 0.298 0.017
O 0.957 0.043 0.357
CELL_PARAMETERS angstrom
1.548 -8.382 0.000
1.548 8.382 0.000
0.000 0.000 8.832

---

[4]
! CaBPdO4 | Alexandria | PBE | relaxed; values from VASP
! Uncorrected formation energy ... -1.687 eV/atom
&SYSTEM
  ibrav = 0, nat = 14, ntyp = 4
/
ATOMIC_SPECIES
Ca 40.08 Ca.upf
B 10.81 B.upf
Pd 106.42 Pd.upf
O 16.00 O.upf
ATOMIC_POSITIONS crystal
Ca 0.000 0.000 0.000
Ca 0.000 0.000 0.500
B 0.371 0.629 0.750
B 0.629 0.371 0.250
Pd 0.314 0.686 0.250
Pd 0.686 0.314 0.750
O 0.264 0.317 0.750
O 0.270 0.730 0.563
O 0.270 0.730 0.937
O 0.317 0.264 0.250
O 0.683 0.736 0.750
O 0.730 0.270 0.063
O 0.730 0.270 0.437
O 0.736 0.683 0.250
CELL_PARAMETERS angstrom
2.854 -4.325 0.000
2.854 4.325 0.000
0.000 0.000 6.403

---

[5]
! Ca2BPdO5 | Alexandria | PBE | relaxed; values from VASP
! Uncorrected formation energy ... -1.971 eV/atom
&SYSTEM
  ibrav = 0, nat = 18, ntyp = 4
/
ATOMIC_SPECIES
Ca 40.08 Ca.upf
B 10.81 B.upf
Pd 106.42 Pd.upf
O 16.00 O.upf
ATOMIC_POSITIONS crystal
Ca 0.109 0.891 0.500
Ca 0.141 0.859 0.161
Ca 0.859 0.141 0.661
Ca 0.891 0.109 0.000
B 0.443 0.557 0.237
B 0.557 0.443 0.737
Pd 0.195 0.805 0.863
Pd 0.805 0.195 0.363
O 0.041 0.959 0.829
O 0.287 0.713 0.510
O 0.338 0.662 0.210
O 0.345 0.655 0.843
O 0.494 0.506 0.629
O 0.506 0.494 0.129
O 0.655 0.345 0.343
O 0.662 0.338 0.710
O 0.713 0.287 0.010
O 0.959 0.041 0.329
CELL_PARAMETERS angstrom
1.568 -6.693 0.000
1.568 6.693 0.000
0.000 0.000 9.960

---

[6]
! CaB4Pd3O12 | Alexandria | PBE | relaxed; values from VASP
! Uncorrected formation energy ... -1.589 eV/atom
&SYSTEM
  ibrav = 0, nat = 20, ntyp = 4
/
ATOMIC_SPECIES
Ca 40.08 Ca.upf
B 10.81 B.upf
Pd 106.42 Pd.upf
O 16.00 O.upf
ATOMIC_POSITIONS crystal
Ca 0.000 0.000 0.000
B 0.054 0.500 0.946
B 0.500 0.500 0.500
B 0.500 0.946 0.054
B 0.946 0.054 0.500
Pd 0.000 0.548 0.452
Pd 0.452 0.000 0.548
Pd 0.548 0.452 0.000
O 0.024 0.629 0.797
O 0.091 0.909 0.500
O 0.203 0.371 0.976
O 0.358 0.642 0.500
O 0.371 0.976 0.203
O 0.500 0.091 0.909
O 0.500 0.358 0.642
O 0.629 0.797 0.024
O 0.642 0.500 0.358
O 0.797 0.024 0.629
O 0.909 0.500 0.091
O 0.976 0.203 0.371
CELL_PARAMETERS angstrom
4.871 2.812 2.648
-4.871 2.812 2.648
0.000 -5.624 2.648

---

[7]
! Ca2PmB2O6 | Alexandria | PBE | relaxed; values from VASP
! Uncorrected formation energy ... -2.734 eV/atom
&SYSTEM
  ibrav = 0, nat = 11, ntyp = 4
/
ATOMIC_SPECIES
Ca 40.08 Ca.upf
Pm 145.00 Pm.upf
B 10.81 B.upf
O 16.00 O.upf
ATOMIC_POSITIONS crystal
Ca 0.333 0.667 0.286
Ca 0.667 0.333 0.714
Pm 0.000 0.000 0.000
B 0.333 0.667 0.833
B 0.667 0.333 0.167
O 0.073 0.682 0.834
O 0.318 0.391 0.834
O 0.391 0.073 0.166
O 0.609 0.927 0.834
O 0.682 0.609 0.166
O 0.927 0.318 0.166
CELL_PARAMETERS angstrom
5.171 0.000 0.000
-2.585 4.478 0.000
0.000 0.000 8.834

---

[8]
! CaPm2B2O6 | Alexandria | PBE | relaxed; values from VASP
! Uncorrected formation energy ... -2.518 eV/atom
&SYSTEM
  ibrav = 0, nat = 11, ntyp = 4
/
ATOMIC_SPECIES
Ca 40.08 Ca.upf
Pm 145.00 Pm.upf
B 10.81 B.upf
O 16.00 O.upf
ATOMIC_POSITIONS crystal
Ca 0.000 0.000 0.000
Pm 0.333 0.667 0.201
Pm 0.667 0.333 0.799
B 0.333 0.667 0.723
B 0.667 0.333 0.277
O 0.109 0.707 0.799
O 0.293 0.402 0.799
O 0.402 0.109 0.201
O 0.598 0.891 0.799
O 0.707 0.598 0.201
O 0.891 0.293 0.201
CELL_PARAMETERS angstrom
5.673 0.000 0.000
-2.837 4.913 0.000
0.000 0.000 5.624

---

[9]
! CaPmB2O6 | Alexandria | PBE | relaxed; values from VASP
! Uncorrected formation energy ... -2.711 eV/atom
&SYSTEM
  ibrav = 0, nat = 20, ntyp = 4
/
ATOMIC_SPECIES
Ca 40.08 Ca.upf
Pm 145.00 Pm.upf
B 10.81 B.upf
O 16.00 O.upf
ATOMIC_POSITIONS crystal
Ca 0.079 0.921 0.750
Ca 0.921 0.079 0.250
Pm 0.425 0.575 0.250
Pm 0.575 0.425 0.750
B 0.095 0.422 0.751
B 0.422 0.095 0.251
B 0.578 0.905 0.749
B 0.905 0.578 0.249
O 0.053 0.462 0.253
O 0.062 0.228 0.613
O 0.228 0.062 0.113
O 0.293 0.502 0.900
O 0.462 0.053 0.753
O 0.498 0.707 0.600
O 0.502 0.293 0.400
O 0.538 0.947 0.247
O 0.707 0.498 0.100
O 0.772 0.938 0.887
O 0.938 0.772 0.387
O 0.947 0.538 0.747
CELL_PARAMETERS angstrom
3.920 -5.185 0.000
3.920 5.185 0.000
-2.234 0.000 6.656

---

[10]
! CaPrB2O6 | Alexandria | PBE | relaxed; values from VASP
! Uncorrected formation energy ... -2.704 eV/atom
&SYSTEM
  ibrav = 0, nat = 20, ntyp = 4
/
ATOMIC_SPECIES
Ca 40.08 Ca.upf
Pr 140.91 Pr.upf
B 10.81 B.upf
O 16.00 O.upf
ATOMIC_POSITIONS crystal
Ca 0.184 0.816 0.750
Ca 0.816 0.184 0.250
Pr 0.372 0.628 0.250
Pr 0.628 0.372 0.750
B 0.153 0.321 0.733
B 0.321 0.153 0.233
B 0.679 0.847 0.767
B 0.847 0.679 0.267
O 0.055 0.687 0.372
O 0.154 0.259 0.191
O 0.259 0.154 0.691
O 0.275 0.509 0.873
O 0.313 0.945 0.128
O 0.491 0.725 0.627
O 0.509 0.275 0.373
O 0.687 0.055 0.872
O 0.725 0.491 0.127
O 0.741 0.846 0.309
O 0.846 0.741 0.809
O 0.945 0.313 0.628
CELL_PARAMETERS angstrom
4.261 -4.893 0.000
4.261 4.893 0.000
-2.235 0.000 6.414

---

[11]
! CaPr2BO5 | Alexandria | PBE | relaxed; values from VASP
! Uncorrected formation energy ... -2.407 eV/atom
&SYSTEM
  ibrav = 0, nat = 18, ntyp = 4
/
ATOMIC_SPECIES
Ca 40.08 Ca.upf
Pr 140.91 Pr.upf
B 10.81 B.upf
O 16.00 O.upf
ATOMIC_POSITIONS crystal
Ca 0.000 0.000 0.000
Ca 0.500 0.500 0.000
Pr 0.174 0.326 0.500
Pr 0.326 0.826 0.500
Pr 0.674 0.174 0.500
Pr 0.826 0.674 0.500
B 0.000 0.500 0.000
B 0.500 0.000 0.000
O 0.000 0.000 0.500
O 0.121 0.621 0.217
O 0.121 0.621 0.783
O 0.379 0.121 0.217
O 0.379 0.121 0.783
O 0.500 0.500 0.500
O 0.621 0.879 0.217
O 0.621 0.879 0.783
O 0.879 0.379 0.217
O 0.879 0.379 0.783
CELL_PARAMETERS angstrom
6.765 0.000 0.000
0.000 6.765 0.000
0.000 0.000 5.244

---

[12]
! CaBPtO5 | Alexandria | PBE | relaxed; values from VASP
! Uncorrected formation energy ... -1.687 eV/atom
&SYSTEM
  ibrav = 0, nat = 16, ntyp = 4
/
ATOMIC_SPECIES
Ca 40.08 Ca.upf
B 10.81 B.upf
Pt 195.08 Pt.upf
O 16.00 O.upf
ATOMIC_POSITIONS crystal
Ca 0.148 0.852 0.750
Ca 0.852 0.148 0.250
B 0.196 0.804 0.250
B 0.804 0.196 0.750
Pt 0.500 0.500 0.000
Pt 0.500 0.500 0.500
O 0.088 0.253 0.912
O 0.176 0.606 0.364
O 0.253 0.088 0.412
O 0.394 0.824 0.136
O 0.407 0.593 0.750
O 0.593 0.407 0.250
O 0.606 0.176 0.864
O 0.747 0.912 0.588
O 0.824 0.394 0.636
O 0.912 0.747 0.088
CELL_PARAMETERS angstrom
3.192 -4.306 0.000
3.192 4.306 0.000
-2.948 0.000 6.316

---

no.,uncorrected energy (eV per atom)
1,-8.22
2,-6.34
3,-6.42
4,-6.50
5,-6.49
6,-6.78
7,-7.45
8,-7.48
9,-7.70
10,-7.69
11,-7.19
12,-6.63